A relaxed HfMn2GeO6 crystal. Source: Alexandria, functional PBE+U.

Output
**Spin magnetization**: 8.0 μB per cell
**Uncorrected energy**: -7.93 eV per atom

Cell lengths 5.3091, 5.2729, 5.5922 Å; angles 61.17, 61.14, 59.83 degrees
Site moments in Bohr magnetons follow the coordinates.
Element x y z (fractional)
Mn  0.0255  0.0152  0.9320  2.85
Mn  0.5386  0.5371  0.3879  4.63
O  0.1939  0.9699  0.2670  0.05
O  0.6733  0.1025  0.7774  0.04
O  0.4359  0.6857  0.7731  0.02
O  0.0997  0.4361  0.7772  0.02
O  0.9718  0.5878  0.2474  0.01
O  0.5894  0.1986  0.2458  0.03
Hf  0.8132  0.8126  0.5624  0.00
Ge  0.3204  0.3161  0.0451  0.01